The following is a PBE with a Hubbard U calculation of a geometry-optimized Zr2MoF structure, from the Alexandria database.

Cell: 6.957 6.957 5.859 Å, 53.58 53.58 90.00°
Sites, in units of the cell vectors:
Mo 0.000 0.000 0.000
Mo 0.750 0.250 0.500
Zr 0.547 0.125 0.250
Zr 0.203 0.625 0.250
Zr 0.375 0.453 0.750
Zr 0.875 0.797 0.750
F 0.500 0.500 0.000
F 0.250 0.750 0.500

Computed properties:
As for the space group: I-42d (122). The size of the total moment comes out at 3.96 μB/cell. For the energy above the most stable polymorph in this dataset, the calculation gives 0.00 eV per formula unit.